No. 1
First-principles (PBE) data for a relaxed Sm4Bi2Ru crystal, as listed in Alexandria.

Summary:
The value obtained for the spin magnetization is 0.0 μB per formula unit. For the energy of formation, the calculation gives -452 meV per atom. The calculation puts the calculated density at 8.19 g/cm3. The energy above the most stable polymorph in this dataset is 82 meV per atom. The value obtained for the density of states at the Fermi level is 0.81 states/eV/atom.

Cell: 5.1947 5.1947 9.1835 Å, 106.43 106.43 90.00°
Last column: nearest neighbours and their distance in Å.
Atoms (fractional coordinates):
Ru 0.0000 0.0000 0.0000  6 Sm 2.60-2.87
Bi 0.6396 0.6396 0.2792  5 Sm 3.20-3.50
Bi 0.3604 0.3604 0.7208  5 Sm 3.20-3.50
Sm 0.8297 0.8297 0.6594  1 Ru 2.87, 1 Bi 3.20
Sm 0.1703 0.1703 0.3406  1 Ru 2.87, 1 Bi 3.20
Sm 0.0000 0.5000 0.0000  2 Ru 2.60
Sm 0.5000 0.0000 0.0000  2 Ru 2.60

---

No. 2
First-principles (PBE) data for a relaxed TlPtBr6 crystal, as listed in Alexandria.

Summary:
The value obtained for the spin magnetization is 0.0 μB per formula unit. The calculation puts the calculated density at 4.62 g/cm3. The formation energy from raw total energies is -0.34 eV/atom. The energy above the most stable polymorph in this dataset is 0 meV per atom. The value obtained for the density of states at the Fermi level is 0.82 states/eV/atom.

Cell: 6.9964 6.9964 7.5118 Å, 111.91 111.91 79.52°
Last column: nearest neighbours and their distance in Å.
Atoms (fractional coordinates):
Tl 0.0000 0.0000 0.5000  6 Br 3.07-3.08
Pt 0.0000 0.0000 0.0000  6 Br 2.50-2.51
Br 0.3069 0.9114 0.2691  1 Pt 2.51
Br 0.9114 0.3069 0.2691  1 Pt 2.51
Br 0.0886 0.6931 0.7309  1 Pt 2.51
Br 0.6931 0.0886 0.7309  1 Pt 2.51
Br 0.2166 0.2166 0.9566  1 Pt 2.50
Br 0.7834 0.7834 0.0434  1 Pt 2.50